Here is an optimized crystal structure of TbGaPdO4 from Alexandria via LeMat-Bulk. Energies are from GGA-PBE.

Results
N(E_F) (states/eV/cell): 11.44
Uncorrected energy (hartree per atom): -0.2387
Spin magnetization (μB per formula unit): 0.250
Symmetry: Cmcm (63)
Crystal system: orthorhombic

Geometry as extended XYZ:
```
14
Lattice="-3.330 2.671 -3.299 -1.536 -5.120 0.726 -3.935 1.969 5.566" Properties=species:S:1:pos:R:3 pbc="T T T"
Tb -4.401 -0.240 1.496
Tb -2.433 -1.225 -1.287
Ga -2.758 -3.596 1.584
Ga -6.043 3.115 1.409
Pd -3.941 1.542 -1.070
Pd -4.861 -2.023 4.063
O -4.166 0.785 3.561
O -6.569 -0.425 2.290
O -6.696 2.657 3.078
O -4.983 1.800 0.655
O -2.105 -3.138 -0.086
O -3.818 -2.280 2.337
O -4.635 -1.265 -0.568
O -2.232 -0.055 0.703
```